(1)
# PBE-GGA Tl2RuSe, relaxed
# E_tot   -4.17 eV per atom
# Raw formation energy   0.21 eV per atom
# M_tot   0.0 μB/f.u.
data_Tl2RuSe
_space_group_name_H-M_alt 'I m m m'
_space_group_IT_number 71
_space_group_name_Hall '-I 2 2'
_cell_length_a 3.210
_cell_length_b 3.953
_cell_length_c 15.568
_cell_angle_alpha 90.00
_cell_angle_beta 90.00
_cell_angle_gamma 90.00
loop_
_atom_site_label
_atom_site_type_symbol
_atom_site_fract_x
_atom_site_fract_y
_atom_site_fract_z
Tl1 Tl 0.000 0.000 0.169
Ru1 Ru 0.000 0.500 0.500
Se1 Se 0.000 0.500 0.000

***

(2)
# PBE-GGA Tb5Nd12Dy2, relaxed
# E_tot   -4.59 eV per atom
# M_tot   0.0 μB/f.u.
# E_form   127 meV per atom
data_Tb5Nd12Dy2
_space_group_name_H-M_alt 'C 1 2/m 1'
_space_group_IT_number 12
_cell_length_a 15.436
_cell_length_b 10.579
_cell_length_c 8.069
_cell_angle_alpha 90.00
_cell_angle_beta 93.15
_cell_angle_gamma 90.00
loop_
_space_group_symop_operation_xyz
'x,y,z'
'-x,-y,-z'
'-x,y,-z'
'x,-y,z'
'x+1/2,y+1/2,z'
'-x+1/2,-y+1/2,-z'
'-x+1/2,y+1/2,-z'
'x+1/2,-y+1/2,z'
loop_
_atom_site_label
_atom_site_type_symbol
_atom_site_fract_x
_atom_site_fract_y
_atom_site_fract_z
Tb1 Tb 0.000 0.000 0.000
Tb2 Tb 0.155 0.500 0.591
Tb3 Tb 0.243 0.000 0.985
Nd1 Nd 0.053 0.500 0.212
Nd2 Nd 0.106 0.274 0.887
Nd3 Nd 0.135 0.000 0.609
Nd4 Nd 0.187 0.227 0.293
Dy1 Dy 0.000 0.264 0.500

***

(3)
# PBE-GGA Tl2ZnTe, relaxed
# E_tot   -2.23 eV per atom
# Raw formation energy   0.06 eV per atom
# M_tot   0.0 μB/f.u.
data_Tl2ZnTe
_space_group_name_H-M_alt 'I -4 2 d'
_space_group_IT_number 122
_space_group_name_Hall 'I -4 2bw'
_cell_length_a 7.124
_cell_length_b 7.124
_cell_length_c 12.394
_cell_angle_alpha 90.00
_cell_angle_beta 90.00
_cell_angle_gamma 90.00
loop_
_atom_site_label
_atom_site_type_symbol
_atom_site_fract_x
_atom_site_fract_y
_atom_site_fract_z
Tl1 Tl 0.221 0.250 0.125
Zn1 Zn 0.000 0.000 0.000
Te1 Te 0.000 0.000 0.500

***

(4)
# PBE-GGA YbCdO3, relaxed
# E_tot   -4.60 eV per atom
# Raw formation energy   -1.14 eV per atom
# M_tot   0.6 μB/f.u.
data_YbCdO3
_space_group_name_H-M_alt 'P m -3 m'
_space_group_IT_number 221
_space_group_name_Hall '-P 4 2 3'
_cell_length_a 4.136
_cell_length_b 4.136
_cell_length_c 4.136
_cell_angle_alpha 90.00
_cell_angle_beta 90.00
_cell_angle_gamma 90.00
loop_
_atom_site_label
_atom_site_type_symbol
_atom_site_fract_x
_atom_site_fract_y
_atom_site_fract_z
Yb1 Yb 0.000 0.000 0.000
Cd1 Cd 0.500 0.500 0.500
O1 O 0.000 0.500 0.500

***

(5)
# PBE-GGA Ba2Ac2Cd3, relaxed
# E_tot   -2.33 eV per atom
# M_tot   0.0 μB/f.u.
# E_form   -210 meV per atom
data_Ba2Ac2Cd3
_space_group_name_H-M_alt 'C 1 2/m 1'
_space_group_IT_number 12
_cell_length_a 10.006
_cell_length_b 5.784
_cell_length_c 10.364
_cell_angle_alpha 90.00
_cell_angle_beta 108.69
_cell_angle_gamma 90.00
loop_
_space_group_symop_operation_xyz
'x,y,z'
'-x,-y,-z'
'-x,y,-z'
'x,-y,z'
'x+1/2,y+1/2,z'
'-x+1/2,-y+1/2,-z'
'-x+1/2,y+1/2,-z'
'x+1/2,-y+1/2,z'
loop_
_atom_site_label
_atom_site_type_symbol
_atom_site_fract_x
_atom_site_fract_y
_atom_site_fract_z
Ba1 Ba 0.124 0.000 0.375
Ac1 Ac 0.128 0.500 0.883
Cd1 Cd 0.000 0.000 0.000
Cd2 Cd 0.244 0.500 0.232

***

(6)
# PBE-GGA PuThSc, relaxed
# E_tot   -9.16 eV per atom
# M_tot   0.0 μB/f.u.
# E_form   200 meV per atom
data_PuThSc
_space_group_name_H-M_alt 'C m c m'
_space_group_IT_number 63
_space_group_name_Hall '-C 2c 2'
_cell_length_a 5.019
_cell_length_b 18.091
_cell_length_c 3.460
_cell_angle_alpha 90.00
_cell_angle_beta 90.00
_cell_angle_gamma 90.00
loop_
_atom_site_label
_atom_site_type_symbol
_atom_site_fract_x
_atom_site_fract_y
_atom_site_fract_z
Pu1 Pu 0.000 0.042 0.250
Th1 Th 0.000 0.403 0.250
Sc1 Sc 0.000 0.207 0.250

***

(7)
# PBE-GGA MgV2Hg, relaxed
# E_tot   -4.48 eV per atom
# M_tot   5.1 μB/f.u.
# E_form   550 meV per atom
data_MgV2Hg
_space_group_name_H-M_alt 'F m -3 m'
_space_group_IT_number 225
_space_group_name_Hall '-F 4 2 3'
_cell_length_a 6.598
_cell_length_b 6.598
_cell_length_c 6.598
_cell_angle_alpha 90.00
_cell_angle_beta 90.00
_cell_angle_gamma 90.00
loop_
_atom_site_label
_atom_site_type_symbol
_atom_site_fract_x
_atom_site_fract_y
_atom_site_fract_z
Mg1 Mg 0.000 0.000 0.000
V1 V 0.250 0.250 0.250
Hg1 Hg 0.000 0.000 0.500

***

(8)
# PBE-GGA GeSbMoCl2, relaxed
# E_tot   -4.42 eV per atom
# Raw formation energy   0.23 eV per atom
# M_tot   2.4 μB/f.u.
data_GeSbMoCl2
_space_group_name_H-M_alt 'P 4/m m m'
_space_group_IT_number 123
_space_group_name_Hall '-P 4 2'
_cell_length_a 4.698
_cell_length_b 4.698
_cell_length_c 5.703
_cell_angle_alpha 90.00
_cell_angle_beta 90.00
_cell_angle_gamma 90.00
loop_
_atom_site_label
_atom_site_type_symbol
_atom_site_fract_x
_atom_site_fract_y
_atom_site_fract_z
Ge1 Ge 0.000 0.000 0.000
Sb1 Sb 0.500 0.500 0.000
Mo1 Mo 0.500 0.500 0.500
Cl1 Cl 0.000 0.500 0.500

***

(9)
# PBE-GGA ZnFeSe2Br, relaxed
# E_tot   -3.43 eV per atom
# Raw formation energy   0.24 eV per atom
# M_tot   3.1 μB/f.u.
data_ZnFeSe2Br
_space_group_name_H-M_alt 'P 4/m m m'
_space_group_IT_number 123
_space_group_name_Hall '-P 4 2'
_cell_length_a 4.614
_cell_length_b 4.614
_cell_length_c 5.182
_cell_angle_alpha 90.00
_cell_angle_beta 90.00
_cell_angle_gamma 90.00
loop_
_atom_site_label
_atom_site_type_symbol
_atom_site_fract_x
_atom_site_fract_y
_atom_site_fract_z
Zn1 Zn 0.000 0.000 0.000
Fe1 Fe 0.500 0.500 0.500
Se1 Se 0.000 0.500 0.500
Br1 Br 0.500 0.500 0.000

***

(10)
# PBE-GGA Dy3HoNi2, relaxed
# E_tot   -5.29 eV per atom
# M_tot   0.0 μB/f.u.
# E_form   -297 meV per atom
data_Dy3HoNi2
_space_group_name_H-M_alt 'C 1 2/m 1'
_space_group_IT_number 12
_cell_length_a 16.057
_cell_length_b 3.866
_cell_length_c 11.332
_cell_angle_alpha 90.00
_cell_angle_beta 123.30
_cell_angle_gamma 90.00
loop_
_space_group_symop_operation_xyz
'x,y,z'
'-x,-y,-z'
'-x,y,-z'
'x,-y,z'
'x+1/2,y+1/2,z'
'-x+1/2,-y+1/2,-z'
'-x+1/2,y+1/2,-z'
'x+1/2,-y+1/2,z'
loop_
_atom_site_label
_atom_site_type_symbol
_atom_site_fract_x
_atom_site_fract_y
_atom_site_fract_z
Dy1 Dy 0.082 0.000 0.440
Dy2 Dy 0.082 0.000 0.941
Dy3 Dy 0.155 0.500 0.746
Ho1 Ho 0.155 0.500 0.247
Ni1 Ni 0.231 0.500 0.051
Ni2 Ni 0.231 0.500 0.550

***

(11)
# PBE-GGA La2TbMg, relaxed
# E_tot   -4.06 eV per atom
# M_tot   0.0 μB/f.u.
# E_form   -39 meV per atom
data_La2TbMg
_space_group_name_H-M_alt 'I 4/m m m'
_space_group_IT_number 139
_space_group_name_Hall '-I 4 2'
_cell_length_a 5.338
_cell_length_b 5.338
_cell_length_c 18.248
_cell_angle_alpha 90.00
_cell_angle_beta 90.00
_cell_angle_gamma 90.00
loop_
_atom_site_label
_atom_site_type_symbol
_atom_site_fract_x
_atom_site_fract_y
_atom_site_fract_z
La1 La 0.000 0.000 0.136
La2 La 0.000 0.500 0.000
Tb1 Tb 0.000 0.000 0.360
Mg1 Mg 0.000 0.500 0.250

***

(12)
# PBE-GGA ZrInMo2, relaxed
# E_tot   -7.98 eV per atom
# M_tot   0.0 μB/f.u.
# E_form   257 meV per atom
data_ZrInMo2
_space_group_name_H-M_alt 'C m m m'
_space_group_IT_number 65
_space_group_name_Hall '-C 2 2'
_cell_length_a 3.435
_cell_length_b 4.708
_cell_length_c 9.210
_cell_angle_alpha 90.00
_cell_angle_beta 90.00
_cell_angle_gamma 90.00
loop_
_atom_site_label
_atom_site_type_symbol
_atom_site_fract_x
_atom_site_fract_y
_atom_site_fract_z
Zr1 Zr 0.000 0.000 0.000
In1 In 0.000 0.000 0.500
Mo1 Mo 0.000 0.500 0.250

***

(13)
# PBE-GGA LiCaNi2, relaxed
# E_tot   -3.71 eV per atom
# M_tot   1.0 μB/f.u.
# E_form   156 meV per atom
data_LiCaNi2
_space_group_name_H-M_alt 'P m m 2'
_space_group_IT_number 25
_cell_length_a 3.177
_cell_length_b 3.200
_cell_length_c 7.034
_cell_angle_alpha 90.00
_cell_angle_beta 90.00
_cell_angle_gamma 90.00
loop_
_space_group_symop_operation_xyz
'x,y,z'
'-x,-y,z'
'-x,y,z'
'x,-y,z'
loop_
_atom_site_label
_atom_site_type_symbol
_atom_site_fract_x
_atom_site_fract_y
_atom_site_fract_z
Li1 Li 0.000 0.000 0.000
Ca1 Ca 0.500 0.500 0.618
Ni1 Ni 0.000 0.000 0.349
Ni2 Ni 0.500 0.500 0.219

***

(14)
# PBE-GGA Sm2BrCl5, relaxed
# E_tot   -4.58 eV per atom
# Raw formation energy   -2.04 eV per atom
# M_tot   0.0 μB/f.u.
data_Sm2BrCl5
_space_group_name_H-M_alt 'I m m m'
_space_group_IT_number 71
_space_group_name_Hall '-I 2 2'
_cell_length_a 4.626
_cell_length_b 8.381
_cell_length_c 10.810
_cell_angle_alpha 90.00
_cell_angle_beta 90.00
_cell_angle_gamma 90.00
loop_
_atom_site_label
_atom_site_type_symbol
_atom_site_fract_x
_atom_site_fract_y
_atom_site_fract_z
Sm1 Sm 0.000 0.000 0.245
Br1 Br 0.000 0.500 0.000
Cl1 Cl 0.000 0.000 0.000
Cl2 Cl 0.000 0.314 0.333

***

(15)
# PBE-GGA Ba2Li4Si, relaxed
# E_tot   -2.42 eV per atom
# Raw formation energy   -0.01 eV per atom
# M_tot   0.0 μB/f.u.
data_Ba2Li4Si
_space_group_name_H-M_alt 'I 4/m m m'
_space_group_IT_number 139
_space_group_name_Hall '-I 4 2'
_cell_length_a 5.011
_cell_length_b 5.011
_cell_length_c 18.003
_cell_angle_alpha 90.00
_cell_angle_beta 90.00
_cell_angle_gamma 90.00
loop_
_atom_site_label
_atom_site_type_symbol
_atom_site_fract_x
_atom_site_fract_y
_atom_site_fract_z
Ba1 Ba 0.000 0.000 0.155
Li1 Li 0.000 0.000 0.364
Li2 Li 0.000 0.500 0.000
Si1 Si 0.000 0.000 0.500

***

(16)
# PBE-GGA Ca3TeIr, relaxed
# E_tot   -4.17 eV per atom
# Raw formation energy   -0.57 eV per atom
# M_tot   0.0 μB/f.u.
data_Ca3TeIr
_space_group_name_H-M_alt 'P m -3 m'
_space_group_IT_number 221
_space_group_name_Hall '-P 4 2 3'
_cell_length_a 5.436
_cell_length_b 5.436
_cell_length_c 5.436
_cell_angle_alpha 90.00
_cell_angle_beta 90.00
_cell_angle_gamma 90.00
loop_
_atom_site_label
_atom_site_type_symbol
_atom_site_fract_x
_atom_site_fract_y
_atom_site_fract_z
Ca1 Ca 0.000 0.000 0.500
Te1 Te 0.500 0.500 0.500
Ir1 Ir 0.000 0.000 0.000

***

(17)
# PBE-GGA Ca3MgCl8, relaxed
# E_tot   -4.11 eV per atom
# Raw formation energy   -2.24 eV per atom
# M_tot   0.0 μB/f.u.
data_Ca3MgCl8
_space_group_name_H-M_alt 'C 1 2/m 1'
_space_group_IT_number 12
_cell_length_a 13.528
_cell_length_b 8.047
_cell_length_c 7.937
_cell_angle_alpha 90.00
_cell_angle_beta 124.11
_cell_angle_gamma 90.00
loop_
_space_group_symop_operation_xyz
'x,y,z'
'-x,-y,-z'
'-x,y,-z'
'x,-y,z'
'x+1/2,y+1/2,z'
'-x+1/2,-y+1/2,-z'
'-x+1/2,y+1/2,-z'
'x+1/2,-y+1/2,z'
loop_
_atom_site_label
_atom_site_type_symbol
_atom_site_fract_x
_atom_site_fract_y
_atom_site_fract_z
Ca1 Ca 0.000 0.000 0.000
Ca2 Ca 0.250 0.250 0.500
Mg1 Mg 0.000 0.500 0.000
Cl1 Cl 0.004 0.266 0.226
Cl2 Cl 0.229 0.500 0.241
Cl3 Cl 0.242 0.000 0.261

***

(18)
# PBE-GGA HoTm5Pb3, relaxed
# E_tot   -4.56 eV per atom
# M_tot   2.4 μB/f.u.
# E_form   -326 meV per atom
data_HoTm5Pb3
_space_group_name_H-M_alt 'P 63/m c m'
_space_group_IT_number 193
_space_group_name_Hall '-P 6c 2'
_cell_length_a 9.3733
_cell_length_b 9.3733
_cell_length_c 6.5550
_cell_angle_alpha 90.00
_cell_angle_beta 90.00
_cell_angle_gamma 120.00
loop_
_atom_site_label
_atom_site_type_symbol
_atom_site_fract_x
_atom_site_fract_y
_atom_site_fract_z
Ho1 Ho 0.0000 0.0000 0.0000
Tm1 Tm 0.0000 0.3359 0.2500
Tm2 Tm 0.3333 0.6667 0.0000
Pb1 Pb 0.0000 0.3316 0.7500

***

(19)
# PBE-GGA Ac2CeClO4, relaxed
# E_tot   -7.65 eV per atom
# Raw formation energy   -3.17 eV per atom
# M_tot   0.8 μB/f.u.
data_Ac2CeClO4
_space_group_name_H-M_alt 'P 4/m m m'
_space_group_IT_number 123
_space_group_name_Hall '-P 4 2'
_cell_length_a 4.144
_cell_length_b 4.144
_cell_length_c 9.564
_cell_angle_alpha 90.00
_cell_angle_beta 90.00
_cell_angle_gamma 90.00
loop_
_atom_site_label
_atom_site_type_symbol
_atom_site_fract_x
_atom_site_fract_y
_atom_site_fract_z
Ac1 Ac 0.000 0.000 0.229
Ce1 Ce 0.500 0.500 0.500
Cl1 Cl 0.500 0.500 0.000
O1 O 0.000 0.500 0.350

***

(20)
# PBE-GGA FeI2Cl, relaxed
# E_tot   -3.67 eV per atom
# Raw formation energy   -0.32 eV per atom
# M_tot   4.5 μB/f.u.
data_FeI2Cl
_space_group_name_H-M_alt 'P 1'
_space_group_IT_number 1
_cell_length_a 3.699
_cell_length_b 7.641
_cell_length_c 7.653
_cell_angle_alpha 95.25
_cell_angle_beta 103.82
_cell_angle_gamma 103.87
loop_
_space_group_symop_operation_xyz
'x,y,z'
loop_
_atom_site_label
_atom_site_type_symbol
_atom_site_fract_x
_atom_site_fract_y
_atom_site_fract_z
Fe1 Fe 0.000 0.000 0.000
I1 I 0.424 0.089 0.759
I2 I 0.425 0.759 0.090
Cl1 Cl 0.220 0.223 0.223

***

(21)
# PBE-GGA LaRh, relaxed
# E_tot   -6.40 eV per atom
# M_tot   0.0 μB/f.u.
# E_form   -264 meV per atom
data_LaRh
_space_group_name_H-M_alt 'P 63/m m c'
_space_group_IT_number 194
_space_group_name_Hall '-P 6c 2c'
_cell_length_a 5.1559
_cell_length_b 5.1559
_cell_length_c 7.7562
_cell_angle_alpha 90.00
_cell_angle_beta 90.00
_cell_angle_gamma 120.00
loop_
_atom_site_label
_atom_site_type_symbol
_atom_site_fract_x
_atom_site_fract_y
_atom_site_fract_z
La1 La 0.0000 0.0000 0.2500
La2 La 0.3333 0.6667 0.2500
Rh1 Rh 0.3333 0.6667 0.5756

***

(22)
# PBE-GGA Cd2CoCu, relaxed
# E_tot   -2.93 eV per atom
# M_tot   1.3 μB/f.u.
# E_form   324 meV per atom
data_Cd2CoCu
_space_group_name_H-M_alt 'F -4 3 m'
_space_group_IT_number 216
_space_group_name_Hall 'F -4 2 3'
_cell_length_a 6.364
_cell_length_b 6.364
_cell_length_c 6.364
_cell_angle_alpha 90.00
_cell_angle_beta 90.00
_cell_angle_gamma 90.00
loop_
_atom_site_label
_atom_site_type_symbol
_atom_site_fract_x
_atom_site_fract_y
_atom_site_fract_z
Cd1 Cd 0.000 0.000 0.000
Cd2 Cd 0.250 0.250 0.250
Co1 Co 0.250 0.250 0.750
Cu1 Cu 0.000 0.000 0.500

***

(23)
# PBE-GGA Nd2GdGa, relaxed
# E_tot   -6.91 eV per atom
# M_tot   7.8 μB/f.u.
# E_form   -248 meV per atom
data_Nd2GdGa
_space_group_name_H-M_alt 'P 4/m m m'
_space_group_IT_number 123
_space_group_name_Hall '-P 4 2'
_cell_length_a 4.848
_cell_length_b 4.848
_cell_length_c 4.808
_cell_angle_alpha 90.00
_cell_angle_beta 90.00
_cell_angle_gamma 90.00
loop_
_atom_site_label
_atom_site_type_symbol
_atom_site_fract_x
_atom_site_fract_y
_atom_site_fract_z
Nd1 Nd 0.000 0.500 0.000
Gd1 Gd 0.000 0.000 0.500
Ga1 Ga 0.500 0.500 0.500

***

(24)
# PBE-GGA SrCo2Bi2, relaxed
# E_tot   -4.70 eV per atom
# M_tot   2.1 μB/f.u.
# E_form   31 meV per atom
data_SrCo2Bi2
_space_group_name_H-M_alt 'I 4/m m m'
_space_group_IT_number 139
_space_group_name_Hall '-I 4 2'
_cell_length_a 4.867
_cell_length_b 4.867
_cell_length_c 9.822
_cell_angle_alpha 90.00
_cell_angle_beta 90.00
_cell_angle_gamma 90.00
loop_
_atom_site_label
_atom_site_type_symbol
_atom_site_fract_x
_atom_site_fract_y
_atom_site_fract_z
Sr1 Sr 0.000 0.000 0.000
Co1 Co 0.000 0.000 0.384
Bi1 Bi 0.000 0.500 0.250

***

(25)
# PBE-GGA Li4Cd2Pb, relaxed
# E_tot   -2.12 eV per atom
# M_tot   0.0 μB/f.u.
# E_form   -236 meV per atom
data_Li4Cd2Pb
_space_group_name_H-M_alt 'I m m m'
_space_group_IT_number 71
_space_group_name_Hall '-I 2 2'
_cell_length_a 3.074
_cell_length_b 4.620
_cell_length_c 19.165
_cell_angle_alpha 90.00
_cell_angle_beta 90.00
_cell_angle_gamma 90.00
loop_
_atom_site_label
_atom_site_type_symbol
_atom_site_fract_x
_atom_site_fract_y
_atom_site_fract_z
Li1 Li 0.000 0.000 0.069
Li2 Li 0.000 0.500 0.142
Cd1 Cd 0.000 0.500 0.295
Pb1 Pb 0.000 0.000 0.500

***

(26)
# PBE-GGA Fe2AgAsI, relaxed
# E_tot   -4.59 eV per atom
# Raw formation energy   0.61 eV per atom
# M_tot   7.0 μB/f.u.
data_Fe2AgAsI
_space_group_name_H-M_alt 'P 4/m m m'
_space_group_IT_number 123
_space_group_name_Hall '-P 4 2'
_cell_length_a 4.718
_cell_length_b 4.718
_cell_length_c 5.185
_cell_angle_alpha 90.00
_cell_angle_beta 90.00
_cell_angle_gamma 90.00
loop_
_atom_site_label
_atom_site_type_symbol
_atom_site_fract_x
_atom_site_fract_y
_atom_site_fract_z
Fe1 Fe 0.000 0.500 0.000
Ag1 Ag 0.000 0.000 0.500
As1 As 0.000 0.000 0.000
I1 I 0.500 0.500 0.500